The following is a DFT calculation (meta-GGA SCAN) of a crystal of SrHg2PAu relaxed with PBEsol.

Energy of formation from the pure elements = -0.183 eV per atom

Cell: 5.0672 5.0672 4.9063 Å, 90.00 90.00 90.00°
With the nearest neighbours (Å) after each atom.
Space group P4/mmm (No. 123)
Asymmetric unit:
1 Sr 0.0000 0.0000 0.0000  8 Hg 3.53, 4 Au 3.58
2 Hg 0.0000 0.5000 0.5000  2 P 2.53
3 P 0.5000 0.5000 0.5000  2 Au 2.45, 4 Hg 2.53
4 Au 0.5000 0.5000 0.0000  2 P 2.45